DFT (PBE) results for a geometry-optimized Rb2TbTlBr6 structure.

## Properties
Crystal system: monoclinic
VASP energy in eV/atom: -3.559
Energy relative to the elements, uncorrected in eV/atom: -1.662
Calculated density in g/cm3: 4.19

abc: 8.0623 8.5751 14.0906
angles: 90.00 124.39 90.00
Space group P2_1/c (No. 14)
One atom of each set of equivalent atoms:
Rb 0.2203 0.0773 0.2486 [4 per cell]
Tb 0.5000 0.0000 0.0000 [2 per cell]
Tl 0.0000 0.0000 0.5000 [2 per cell]
Br 0.1620 0.1776 0.9466 [4 per cell]
Br 0.2685 0.7228 0.9373 [4 per cell]
Br 0.3858 0.0388 0.7714 [4 per cell]